# Mg8IrRh2 | the Alexandria database | PBE-GGA | relaxed
data_Mg8IrRh2
_cell_length_a 14.0400
_cell_length_b 4.4782
_cell_length_c 6.9584
_cell_angle_alpha 90.00
_cell_angle_beta 117.90
_cell_angle_gamma 90.00
_symmetry_space_group_name_H-M 'C 1 2/m 1'
_symmetry_Int_Tables_number 12
loop_
_symmetry_equiv_pos_as_xyz
'x,y,z'
'-x,-y,-z'
'-x,y,-z'
'x,-y,z'
'x+1/2,y+1/2,z'
'-x+1/2,-y+1/2,-z'
'-x+1/2,y+1/2,-z'
'x+1/2,-y+1/2,z'
loop_
_atom_site_label
_atom_site_type_symbol
_atom_site_fract_x
_atom_site_fract_y
_atom_site_fract_z
Mg1 Mg 0.0298 0.0000 0.2255
Mg2 Mg 0.1221 0.5000 0.9400
Mg3 Mg 0.1492 0.0000 0.6991
Mg4 Mg 0.1701 0.5000 0.4057
Ir1 Ir 0.0000 0.5000 0.5000
Rh1 Rh 0.2073 0.0000 0.1583
# * E_form: -338 meV/atom
# * DOS at the Fermi energy: 4.9 states/eV/f.u.
# * total magnetization: 0.00 μB/f.u.
# * VASP energy: -80.07 eV per cell



# ZrPtW2 | the Alexandria database | PBE-GGA | relaxed
data_ZrPtW2
_cell_length_a 3.8846
_cell_length_b 3.8846
_cell_length_c 4.6043
_cell_angle_alpha 90.00
_cell_angle_beta 90.00
_cell_angle_gamma 90.00
_symmetry_space_group_name_H-M 'P 4/m m m'
_symmetry_Int_Tables_number 123
_symmetry_space_group_name_Hall '-P 4 2'
loop_
_atom_site_label
_atom_site_type_symbol
_atom_site_fract_x
_atom_site_fract_y
_atom_site_fract_z
Zr1 Zr 0.0000 0.0000 0.0000
Pt1 Pt 0.5000 0.5000 0.0000
W1 W 0.0000 0.5000 0.5000
# * E_form: -104 meV/atom
# * DOS at the Fermi energy: 3.4 states/eV/f.u.
# * total magnetization: 0.00 μB/f.u.
# * polymorph energy (0 for the lowest one): 0.27 eV/f.u.
# * VASP energy: -40.91 eV per cell